1.
This record from the Alexandria database describes an optimized crystal structure of LaCeAlHg. The functional is PBE.

```
LaCeAlHg
1.0
7.652 0.000 0.000
0.000 7.652 0.000
0.000 0.000 7.652
La Ce Al Hg
4 4 4 4
Direct
0.000 0.000 0.000
0.000 0.500 0.500
0.500 0.000 0.500
0.500 0.500 0.000
0.000 0.000 0.500
0.000 0.500 0.000
0.500 0.000 0.000
0.500 0.500 0.500
0.250 0.250 0.250
0.250 0.750 0.750
0.750 0.250 0.750
0.750 0.750 0.250
0.250 0.250 0.750
0.250 0.750 0.250
0.750 0.250 0.250
0.750 0.750 0.750
```

Calculated values
* DOS at the Fermi energy: 2.73 states/eV/atom
* E_tot: -4.02 eV/atom
* symmetry: No. 216
* calculated formation energy: -0.298 eV/atom
* calculated volume: 28.0 A^3/atom

---

2.
This record from the Alexandria database describes an optimized crystal structure of LiCeAlHg. The functional is PBE.

```
LiCeAlHg
1.0
7.144 0.000 0.000
0.000 7.144 0.000
0.000 0.000 7.144
Li Ce Al Hg
4 4 4 4
Direct
0.000 0.000 0.000
0.000 0.500 0.500
0.500 0.000 0.500
0.500 0.500 0.000
0.000 0.000 0.500
0.000 0.500 0.000
0.500 0.000 0.000
0.500 0.500 0.500
0.250 0.250 0.750
0.250 0.750 0.250
0.750 0.250 0.250
0.750 0.750 0.750
0.250 0.250 0.250
0.250 0.750 0.750
0.750 0.250 0.750
0.750 0.750 0.250
```

Calculated values
* DOS at the Fermi energy: 1.59 states/eV/atom
* E_tot: -3.22 eV/atom
* symmetry: No. 216
* calculated formation energy: -0.243 eV/atom
* calculated volume: 22.8 A^3/atom

---

3.
This record from the Alexandria database describes an optimized crystal structure of Li2CeAlHg4. The functional is PBE.

```
Li2CeAlHg4
1.0
2.325 1.342 9.399
-2.325 1.342 9.399
0.000 -2.684 9.399
Li Ce Al Hg
2 1 1 4
Direct
0.231 0.231 0.231
0.769 0.769 0.769
0.000 0.000 0.000
0.500 0.500 0.500
0.123 0.123 0.123
0.394 0.394 0.394
0.606 0.606 0.606
0.877 0.877 0.877
```

Calculated values
* DOS at the Fermi energy: 1.22 states/eV/atom
* E_tot: -2.09 eV/atom
* symmetry: No. 166
* calculated formation energy: -0.254 eV/atom
* calculated volume: 22.0 A^3/atom

---

4.
This record from the Alexandria database describes an optimized crystal structure of CeLuAlHg. The functional is PBE.

```
CeLuAlHg
1.0
7.381 0.000 0.000
0.000 7.381 0.000
0.000 0.000 7.381
Ce Lu Al Hg
4 4 4 4
Direct
0.000 0.000 0.000
0.000 0.500 0.500
0.500 0.000 0.500
0.500 0.500 0.000
0.000 0.000 0.500
0.000 0.500 0.000
0.500 0.000 0.000
0.500 0.500 0.500
0.250 0.250 0.750
0.250 0.750 0.250
0.750 0.250 0.250
0.750 0.750 0.750
0.250 0.250 0.250
0.250 0.750 0.750
0.750 0.250 0.750
0.750 0.750 0.250
```

Calculated values
* DOS at the Fermi energy: 2.03 states/eV/atom
* E_tot: -3.94 eV/atom
* symmetry: No. 216
* calculated formation energy: -0.314 eV/atom
* calculated volume: 25.1 A^3/atom

---

5.
This record from the Alexandria database describes an optimized crystal structure of CeMgAlHg. The functional is PBE.

```
CeMgAlHg
1.0
7.210 0.000 0.000
0.000 7.210 0.000
0.000 0.000 7.210
Ce Mg Al Hg
4 4 4 4
Direct
0.000 0.000 0.000
0.000 0.500 0.500
0.500 0.000 0.500
0.500 0.500 0.000
0.000 0.000 0.500
0.000 0.500 0.000
0.500 0.000 0.000
0.500 0.500 0.500
0.250 0.250 0.750
0.250 0.750 0.250
0.750 0.250 0.250
0.750 0.750 0.750
0.250 0.250 0.250
0.250 0.750 0.750
0.750 0.250 0.750
0.750 0.750 0.250
```

Calculated values
* DOS at the Fermi energy: 1.45 states/eV/atom
* E_tot: -3.17 eV/atom
* symmetry: No. 216
* calculated formation energy: -0.280 eV/atom
* calculated volume: 23.4 A^3/atom

---

6.
This record from the Alexandria database describes an optimized crystal structure of NaCeAlHg. The functional is PBE.

```
NaCeAlHg
1.0
7.372 0.000 0.000
0.000 7.372 0.000
0.000 0.000 7.372
Na Ce Al Hg
4 4 4 4
Direct
0.000 0.000 0.000
0.000 0.500 0.500
0.500 0.000 0.500
0.500 0.500 0.000
0.000 0.000 0.500
0.000 0.500 0.000
0.500 0.000 0.000
0.500 0.500 0.500
0.250 0.250 0.750
0.250 0.750 0.250
0.750 0.250 0.250
0.750 0.750 0.750
0.250 0.250 0.250
0.250 0.750 0.750
0.750 0.250 0.750
0.750 0.750 0.250
```

Calculated values
* DOS at the Fermi energy: 1.76 states/eV/atom
* E_tot: -2.95 eV/atom
* symmetry: No. 216
* calculated formation energy: -0.122 eV/atom
* calculated volume: 25.0 A^3/atom

---

7.
This record from the Alexandria database describes an optimized crystal structure of CeNdAlHg. The functional is PBE.

```
CeNdAlHg
1.0
7.578 0.000 0.000
0.000 7.578 0.000
0.000 0.000 7.578
Ce Nd Al Hg
4 4 4 4
Direct
0.000 0.000 0.000
0.000 0.500 0.500
0.500 0.000 0.500
0.500 0.500 0.000
0.000 0.000 0.500
0.000 0.500 0.000
0.500 0.000 0.000
0.500 0.500 0.500
0.250 0.250 0.750
0.250 0.750 0.250
0.750 0.250 0.250
0.750 0.750 0.750
0.250 0.250 0.250
0.250 0.750 0.750
0.750 0.250 0.750
0.750 0.750 0.250
```

Calculated values
* DOS at the Fermi energy: 2.68 states/eV/atom
* E_tot: -3.98 eV/atom
* symmetry: No. 216
* calculated formation energy: -0.294 eV/atom
* calculated volume: 27.2 A^3/atom

---

8.
This record from the Alexandria database describes an optimized crystal structure of Ce2Al4HgPd3. The functional is PBE.

```
Ce2Al4HgPd3
1.0
4.345 0.000 0.000
0.000 4.345 0.000
0.000 0.000 10.550
Ce Al Hg Pd
2 4 1 3
Direct
0.000 0.500 0.243
0.500 0.000 0.757
0.000 0.000 0.000
0.000 0.500 0.640
0.500 0.000 0.360
0.500 0.500 0.000
0.000 0.000 0.500
0.000 0.500 0.874
0.500 0.000 0.126
0.500 0.500 0.500
```

Calculated values
* DOS at the Fermi energy: 1.37 states/eV/atom
* E_tot: -4.95 eV/atom
* symmetry: No. 115
* calculated formation energy: -0.673 eV/atom
* calculated volume: 19.9 A^3/atom

---

9.
This record from the Alexandria database describes an optimized crystal structure of CeAlHgPd. The functional is PBE.

```
CeAlHgPd
1.0
6.975 0.000 0.000
0.000 6.975 0.000
0.000 0.000 6.975
Ce Al Hg Pd
4 4 4 4
Direct
0.000 0.000 0.000
0.000 0.500 0.500
0.500 0.000 0.500
0.500 0.500 0.000
0.000 0.000 0.500
0.000 0.500 0.000
0.500 0.000 0.000
0.500 0.500 0.500
0.250 0.250 0.750
0.250 0.750 0.250
0.750 0.250 0.250
0.750 0.750 0.750
0.250 0.250 0.250
0.250 0.750 0.750
0.750 0.250 0.750
0.750 0.750 0.250
```

Calculated values
* DOS at the Fermi energy: 1.28 states/eV/atom
* E_tot: -4.24 eV/atom
* symmetry: No. 216
* calculated formation energy: -0.449 eV/atom
* calculated volume: 21.2 A^3/atom

---

10.
This record from the Alexandria database describes an optimized crystal structure of CePmAlHg. The functional is PBE.

```
CePmAlHg
1.0
7.550 0.000 0.000
0.000 7.550 0.000
0.000 0.000 7.550
Ce Pm Al Hg
4 4 4 4
Direct
0.000 0.000 0.000
0.000 0.500 0.500
0.500 0.000 0.500
0.500 0.500 0.000
0.000 0.000 0.500
0.000 0.500 0.000
0.500 0.000 0.000
0.500 0.500 0.500
0.250 0.250 0.250
0.250 0.750 0.750
0.750 0.250 0.750
0.750 0.750 0.250
0.250 0.250 0.750
0.250 0.750 0.250
0.750 0.250 0.250
0.750 0.750 0.750
```

Calculated values
* DOS at the Fermi energy: 2.63 states/eV/atom
* E_tot: -3.98 eV/atom
* symmetry: No. 216
* calculated formation energy: -0.300 eV/atom
* calculated volume: 26.9 A^3/atom

---

11.
This record from the Alexandria database describes an optimized crystal structure of Ce2Al4HgPt3. The functional is PBE.

```
Ce2Al4HgPt3
1.0
4.338 0.000 0.000
0.000 4.338 0.000
0.000 0.000 10.517
Ce Al Hg Pt
2 4 1 3
Direct
0.000 0.500 0.242
0.500 0.000 0.758
0.000 0.000 0.000
0.000 0.500 0.639
0.500 0.000 0.361
0.500 0.500 0.000
0.000 0.000 0.500
0.000 0.500 0.872
0.500 0.000 0.128
0.500 0.500 0.500
```

Calculated values
* DOS at the Fermi energy: 1.27 states/eV/atom
* E_tot: -5.41 eV/atom
* symmetry: No. 115
* calculated formation energy: -0.882 eV/atom
* calculated volume: 19.8 A^3/atom

---

12.
This record from the Alexandria database describes an optimized crystal structure of CeScAlHg. The functional is PBE.

```
CeScAlHg
1.0
3.289 0.000 0.000
0.000 3.289 0.000
0.000 0.000 8.351
Ce Sc Al Hg
1 1 1 1
Direct
0.000 0.000 0.000
0.000 0.000 0.478
0.500 0.500 0.258
0.500 0.500 0.713
```

Calculated values
* DOS at the Fermi energy: 1.42 states/eV/atom
* E_tot: -4.45 eV/atom
* symmetry: No. 99
* calculated formation energy: -0.373 eV/atom
* energy relative to the lowest polymorph listed for this composition: 0.000 eV per atom
* calculated volume: 22.6 A^3/atom

---

13.
This record from the Alexandria database describes an optimized crystal structure of CeScAlHg. The functional is PBE.

```
CeScAlHg
1.0
7.258 0.000 0.000
0.000 7.258 0.000
0.000 0.000 7.258
Ce Sc Al Hg
4 4 4 4
Direct
0.000 0.000 0.000
0.000 0.500 0.500
0.500 0.000 0.500
0.500 0.500 0.000
0.000 0.000 0.500
0.000 0.500 0.000
0.500 0.000 0.000
0.500 0.500 0.500
0.250 0.250 0.750
0.250 0.750 0.250
0.750 0.250 0.250
0.750 0.750 0.750
0.250 0.250 0.250
0.250 0.750 0.750
0.750 0.250 0.750
0.750 0.750 0.250
```

Calculated values
* DOS at the Fermi energy: 2.11 states/eV/atom
* E_tot: -4.38 eV/atom
* symmetry: No. 216
* calculated formation energy: -0.302 eV/atom
* energy relative to the lowest polymorph listed for this composition: 0.071 eV per atom
* calculated volume: 23.9 A^3/atom